An optimized crystal structure of Dy3Zr4. Source: the Open Quantum Materials Database, functional PBE. Values from VASP.

Computed properties:
Its formation energy from the elements is 0.0586 eV/atom. The energy above the lowest structure with this stoichiometry comes out at 0.0000 eV/atom.

```
&SYSTEM
  ibrav = 0, nat = 14, ntyp = 2
/
ATOMIC_SPECIES
Dy 162.50 Dy.upf
Zr 91.22 Zr.upf
ATOMIC_POSITIONS angstrom
Dy -0.645 1.974 1.330
Dy -2.444 7.326 1.330
Dy 1.387 1.546 3.989
Dy 3.090 6.208 1.330
Dy 6.921 0.428 3.989
Dy 5.122 5.779 3.989
Zr -1.277 3.851 3.989
Zr 0.000 5.169 1.330
Zr -0.503 6.934 3.989
Zr 2.696 3.031 1.330
Zr 1.780 4.723 3.989
Zr 4.980 0.820 1.330
Zr 4.477 2.585 3.989
Zr 5.753 3.903 1.330
CELL_PARAMETERS angstrom
8.953 0.000 0.000
-4.477 7.754 0.000
0.000 0.000 5.319
```